[1]
Below is an optimized crystal structure of CsKCa2Pd, with properties calculated at the GGA-PBE level.

E_tot: -2.30 eV per atom

The structure in CIF format:
```
data_CsKCa2Pd
_space_group_name_H-M_alt 'P 4/m m m'
_space_group_IT_number 123
_space_group_name_Hall '-P 4 2'
_cell_length_a 5.784
_cell_length_b 5.784
_cell_length_c 7.092
_cell_angle_alpha 90.00
_cell_angle_beta 90.00
_cell_angle_gamma 90.00
loop_
_atom_site_label
_atom_site_fract_x
_atom_site_fract_y
_atom_site_fract_z
Cs1 0.000 0.000 0.000
K1 0.500 0.500 0.000
Ca1 0.000 0.500 0.500
Pd1 0.000 0.000 0.500
```

=====

[2]
Below is an optimized crystal structure of TbCd9Ni3, with properties calculated at the GGA-PBE level.

E_tot: -2.40 eV per atom

The structure in CIF format:
```
data_TbCd9Ni3
_space_group_name_H-M_alt 'C 1 2/m 1'
_space_group_IT_number 12
_cell_length_a 5.484
_cell_length_b 13.764
_cell_length_c 7.211
_cell_angle_alpha 90.00
_cell_angle_beta 111.63
_cell_angle_gamma 90.00
loop_
_space_group_symop_operation_xyz
'x,y,z'
'-x,-y,-z'
'-x,y,-z'
'x,-y,z'
'x+1/2,y+1/2,z'
'-x+1/2,-y+1/2,-z'
'-x+1/2,y+1/2,-z'
'x+1/2,-y+1/2,z'
loop_
_atom_site_label
_atom_site_fract_x
_atom_site_fract_y
_atom_site_fract_z
Tb1 0.000 0.000 0.000
Cd1 0.000 0.000 0.500
Cd2 0.094 0.389 0.212
Cd3 0.165 0.174 0.326
Ni1 0.000 0.500 0.500
Ni2 0.250 0.250 0.000
```

=====

[3]
Below is an optimized crystal structure of Ac5GaNi2, with properties calculated at the GGA-PBE level.

E_tot: -4.62 eV per atom

The structure in CIF format:
```
data_Ac5GaNi2
_space_group_name_H-M_alt 'I 4/m c m'
_space_group_IT_number 140
_space_group_name_Hall '-I 4 2c'
_cell_length_a 8.284
_cell_length_b 8.284
_cell_length_c 14.341
_cell_angle_alpha 90.00
_cell_angle_beta 90.00
_cell_angle_gamma 90.00
loop_
_atom_site_label
_atom_site_fract_x
_atom_site_fract_y
_atom_site_fract_z
Ac1 0.000 0.000 0.000
Ac2 0.161 0.339 0.139
Ga1 0.000 0.000 0.250
Ni1 0.126 0.374 0.500
```

=====

[4]
Below is an optimized crystal structure of Sr3PdO5, with properties calculated at the GGA-PBE level.

Formation energy from raw total energies: -1.81 eV per atom

The structure in CIF format:
```
data_Sr3PdO5
_space_group_name_H-M_alt 'I 4/m c m'
_space_group_IT_number 140
_space_group_name_Hall '-I 4 2c'
_cell_length_a 6.836
_cell_length_b 6.836
_cell_length_c 12.317
_cell_angle_alpha 90.00
_cell_angle_beta 90.00
_cell_angle_gamma 90.00
loop_
_atom_site_label
_atom_site_fract_x
_atom_site_fract_y
_atom_site_fract_z
Sr1 0.000 0.000 0.250
Sr2 0.173 0.327 0.000
Pd1 0.000 0.500 0.250
O1 0.000 0.000 0.000
O2 0.137 0.363 0.366
```

=====

[5]
Below is an optimized crystal structure of SiBC3, with properties calculated at the GGA-PBE level.

Formation energy from raw total energies: 2.81 eV per atom

The structure in CIF format:
```
data_SiBC3
_space_group_name_H-M_alt 'P m -3 m'
_space_group_IT_number 221
_space_group_name_Hall '-P 4 2 3'
_cell_length_a 3.719
_cell_length_b 3.719
_cell_length_c 3.719
_cell_angle_alpha 90.00
_cell_angle_beta 90.00
_cell_angle_gamma 90.00
loop_
_atom_site_label
_atom_site_fract_x
_atom_site_fract_y
_atom_site_fract_z
Si1 0.000 0.000 0.000
B1 0.500 0.500 0.500
C1 0.000 0.000 0.500
```

=====

[6]
Below is an optimized crystal structure of Ta2FeAu, with properties calculated at the GGA-PBE level.

E_tot: -8.77 eV per atom

The structure in CIF format:
```
data_Ta2FeAu
_space_group_name_H-M_alt 'C 1 m 1'
_space_group_IT_number 8
_cell_length_a 9.726
_cell_length_b 3.101
_cell_length_c 4.661
_cell_angle_alpha 90.00
_cell_angle_beta 110.75
_cell_angle_gamma 90.00
loop_
_space_group_symop_operation_xyz
'x,y,z'
'x,-y,z'
'x+1/2,y+1/2,z'
'x+1/2,-y+1/2,z'
loop_
_atom_site_label
_atom_site_fract_x
_atom_site_fract_y
_atom_site_fract_z
Ta1 0.000 0.000 0.000
Ta2 0.230 0.000 0.715
Fe1 0.013 0.500 0.500
Au1 0.272 0.500 0.258
```

=====

[7]
Below is an optimized crystal structure of TlSn3Pt12, with properties calculated at the GGA-PBE level.

E_tot: -5.75 eV per atom

The structure in CIF format:
```
data_TlSn3Pt12
_space_group_name_H-M_alt 'P 4/m m m'
_space_group_IT_number 123
_space_group_name_Hall '-P 4 2'
_cell_length_a 4.070
_cell_length_b 4.070
_cell_length_c 16.258
_cell_angle_alpha 90.00
_cell_angle_beta 90.00
_cell_angle_gamma 90.00
loop_
_atom_site_label
_atom_site_fract_x
_atom_site_fract_y
_atom_site_fract_z
Tl1 0.000 0.000 0.000
Sn1 0.000 0.000 0.249
Sn2 0.000 0.000 0.500
Pt1 0.000 0.500 0.129
Pt2 0.000 0.500 0.376
Pt3 0.500 0.500 0.000
Pt4 0.500 0.500 0.253
Pt5 0.500 0.500 0.500
```

=====

[8]
Below is an optimized crystal structure of PRhC2, with properties calculated at the GGA-PBE level.

E_tot: -7.51 eV per atom

The structure in CIF format:
```
data_PRhC2
_space_group_name_H-M_alt 'P 1'
_space_group_IT_number 1
_cell_length_a 2.593
_cell_length_b 4.384
_cell_length_c 5.256
_cell_angle_alpha 67.95
_cell_angle_beta 75.76
_cell_angle_gamma 72.99
loop_
_space_group_symop_operation_xyz
'x,y,z'
loop_
_atom_site_label
_atom_site_fract_x
_atom_site_fract_y
_atom_site_fract_z
P1 0.000 0.000 0.000
Rh1 0.296 0.489 0.923
C1 0.404 0.682 0.509
C2 0.934 0.756 0.376
```

=====

[9]
Below is an optimized crystal structure of CaNiSb2, with properties calculated at the GGA-PBE level.

Formation energy from raw total energies: -0.42 eV per atom

The structure in CIF format:
```
data_CaNiSb2
_space_group_name_H-M_alt 'P 1 2/m 1'
_space_group_IT_number 10
_cell_length_a 5.039
_cell_length_b 4.033
_cell_length_c 5.095
_cell_angle_alpha 90.00
_cell_angle_beta 107.21
_cell_angle_gamma 90.00
loop_
_space_group_symop_operation_xyz
'x,y,z'
'-x,-y,-z'
'-x,y,-z'
'x,-y,z'
loop_
_atom_site_label
_atom_site_fract_x
_atom_site_fract_y
_atom_site_fract_z
Ca1 0.000 0.000 0.000
Ni1 0.500 0.000 0.500
Sb1 0.312 0.500 0.691
```

=====

[10]
Below is an optimized crystal structure of Th2TeSe2, with properties calculated at the GGA-PBE level.

Formation energy from raw total energies: -1.45 eV per atom

The structure in CIF format:
```
data_Th2TeSe2
_space_group_name_H-M_alt 'I m m m'
_space_group_IT_number 71
_space_group_name_Hall '-I 2 2'
_cell_length_a 4.278
_cell_length_b 5.844
_cell_length_c 13.317
_cell_angle_alpha 90.00
_cell_angle_beta 90.00
_cell_angle_gamma 90.00
loop_
_atom_site_label
_atom_site_fract_x
_atom_site_fract_y
_atom_site_fract_z
Th1 0.000 0.000 0.172
Te1 0.000 0.500 0.500
Se1 0.000 0.500 0.169
```

=====

[11]
Below is an optimized crystal structure of TaTl2FeN, with properties calculated at the GGA-PBE level.

Formation energy from raw total energies: 0.82 eV per atom

The structure in CIF format:
```
data_TaTl2FeN
_space_group_name_H-M_alt 'P 4/m m m'
_space_group_IT_number 123
_space_group_name_Hall '-P 4 2'
_cell_length_a 5.182
_cell_length_b 5.182
_cell_length_c 3.433
_cell_angle_alpha 90.00
_cell_angle_beta 90.00
_cell_angle_gamma 90.00
loop_
_atom_site_label
_atom_site_fract_x
_atom_site_fract_y
_atom_site_fract_z
Ta1 0.000 0.000 0.000
Tl1 0.000 0.500 0.500
Fe1 0.500 0.500 0.000
N1 0.500 0.500 0.500
```

=====

[12]
Below is an optimized crystal structure of CaRhSe3, with properties calculated at the GGA-PBE level.

Formation energy from raw total energies: 0.66 eV per atom

The structure in CIF format:
```
data_CaRhSe3
_space_group_name_H-M_alt 'P m -3 m'
_space_group_IT_number 221
_space_group_name_Hall '-P 4 2 3'
_cell_length_a 5.347
_cell_length_b 5.347
_cell_length_c 5.347
_cell_angle_alpha 90.00
_cell_angle_beta 90.00
_cell_angle_gamma 90.00
loop_
_atom_site_label
_atom_site_fract_x
_atom_site_fract_y
_atom_site_fract_z
Ca1 0.000 0.000 0.000
Rh1 0.500 0.500 0.500
Se1 0.000 0.000 0.500
```

=====

[13]
Below is an optimized crystal structure of MnSiPH, with properties calculated at the GGA-PBE level.

E_tot: -5.90 eV per atom

The structure in CIF format:
```
data_MnSiPH
_space_group_name_H-M_alt 'P 1'
_space_group_IT_number 1
_cell_length_a 2.843
_cell_length_b 2.844
_cell_length_c 7.744
_cell_angle_alpha 86.50
_cell_angle_beta 87.25
_cell_angle_gamma 60.02
loop_
_space_group_symop_operation_xyz
'x,y,z'
loop_
_atom_site_label
_atom_site_fract_x
_atom_site_fract_y
_atom_site_fract_z
Mn1 0.000 0.000 0.000
Si1 0.320 0.305 0.212
P1 0.680 0.695 0.792
H1 0.308 0.278 0.406
```

=====

[14]
Below is an optimized crystal structure of Mg2HPd, with properties calculated at the GGA-PBE level.

E_tot: -3.11 eV per atom

The structure in CIF format:
```
data_Mg2HPd
_space_group_name_H-M_alt 'P 4/m m m'
_space_group_IT_number 123
_space_group_name_Hall '-P 4 2'
_cell_length_a 2.948
_cell_length_b 2.948
_cell_length_c 6.679
_cell_angle_alpha 90.00
_cell_angle_beta 90.00
_cell_angle_gamma 90.00
loop_
_atom_site_label
_atom_site_fract_x
_atom_site_fract_y
_atom_site_fract_z
Mg1 0.000 0.000 0.230
H1 0.500 0.500 0.000
Pd1 0.500 0.500 0.500
```

=====

[15]
Below is an optimized crystal structure of MgCd2Ag2, with properties calculated at the GGA-PBE level.

E_tot: -1.94 eV per atom

The structure in CIF format:
```
data_MgCd2Ag2
_space_group_name_H-M_alt 'C 1 2/m 1'
_space_group_IT_number 12
_cell_length_a 9.085
_cell_length_b 4.377
_cell_length_c 6.374
_cell_angle_alpha 90.00
_cell_angle_beta 129.82
_cell_angle_gamma 90.00
loop_
_space_group_symop_operation_xyz
'x,y,z'
'-x,-y,-z'
'-x,y,-z'
'x,-y,z'
'x+1/2,y+1/2,z'
'-x+1/2,-y+1/2,-z'
'-x+1/2,y+1/2,-z'
'x+1/2,-y+1/2,z'
loop_
_atom_site_label
_atom_site_fract_x
_atom_site_fract_y
_atom_site_fract_z
Mg1 0.000 0.000 0.000
Cd1 0.203 0.000 0.613
Ag1 0.097 0.500 0.801
```

=====

[16]
Below is an optimized crystal structure of TiPNO2, with properties calculated at the GGA-PBE level.

Formation energy from raw total energies: -0.55 eV per atom

The structure in CIF format:
```
data_TiPNO2
_space_group_name_H-M_alt 'P 4/m m m'
_space_group_IT_number 123
_space_group_name_Hall '-P 4 2'
_cell_length_a 3.736
_cell_length_b 3.736
_cell_length_c 4.203
_cell_angle_alpha 90.00
_cell_angle_beta 90.00
_cell_angle_gamma 90.00
loop_
_atom_site_label
_atom_site_fract_x
_atom_site_fract_y
_atom_site_fract_z
Ti1 0.000 0.000 0.000
P1 0.500 0.500 0.500
N1 0.000 0.000 0.500
O1 0.000 0.500 0.000
```

=====

[17]
Below is an optimized crystal structure of Cs5Sb, with properties calculated at the GGA-PBE level.

Formation energy from raw total energies: -0.15 eV per atom

The structure in CIF format:
```
data_Cs5Sb
_space_group_name_H-M_alt 'C m m m'
_space_group_IT_number 65
_space_group_name_Hall '-C 2 2'
_cell_length_a 6.327
_cell_length_b 20.096
_cell_length_c 6.493
_cell_angle_alpha 90.00
_cell_angle_beta 90.00
_cell_angle_gamma 90.00
loop_
_atom_site_label
_atom_site_fract_x
_atom_site_fract_y
_atom_site_fract_z
Cs1 0.000 0.000 0.000
Cs2 0.000 0.130 0.500
Cs3 0.000 0.365 0.000
Sb1 0.000 0.500 0.500
```

=====

[18]
Below is an optimized crystal structure of Mn2AsBr, with properties calculated at the GGA-PBE level.

Formation energy from raw total energies: 0.24 eV per atom

The structure in CIF format:
```
data_Mn2AsBr
_space_group_name_H-M_alt 'C 1 2/m 1'
_space_group_IT_number 12
_cell_length_a 7.606
_cell_length_b 7.316
_cell_length_c 3.268
_cell_angle_alpha 90.00
_cell_angle_beta 115.34
_cell_angle_gamma 90.00
loop_
_space_group_symop_operation_xyz
'x,y,z'
'-x,-y,-z'
'-x,y,-z'
'x,-y,z'
'x+1/2,y+1/2,z'
'-x+1/2,-y+1/2,-z'
'-x+1/2,y+1/2,-z'
'x+1/2,-y+1/2,z'
loop_
_atom_site_label
_atom_site_fract_x
_atom_site_fract_y
_atom_site_fract_z
Mn1 0.250 0.250 0.000
As1 0.000 0.000 0.500
Br1 0.000 0.500 0.500
```

=====

[19]
Below is an optimized crystal structure of Ba3Cl, with properties calculated at the GGA-PBE level.

Formation energy from raw total energies: -0.76 eV per atom

The structure in CIF format:
```
data_Ba3Cl
_space_group_name_H-M_alt 'I m m 2'
_space_group_IT_number 44
_cell_length_a 4.226
_cell_length_b 12.895
_cell_length_c 7.655
_cell_angle_alpha 90.00
_cell_angle_beta 90.00
_cell_angle_gamma 90.00
loop_
_space_group_symop_operation_xyz
'x,y,z'
'-x,-y,z'
'-x,y,z'
'x,-y,z'
'x+1/2,y+1/2,z+1/2'
'-x+1/2,-y+1/2,z+1/2'
'-x+1/2,y+1/2,z+1/2'
'x+1/2,-y+1/2,z+1/2'
loop_
_atom_site_label
_atom_site_fract_x
_atom_site_fract_y
_atom_site_fract_z
Ba1 0.000 0.000 0.000
Ba2 0.000 0.180 0.507
Cl1 0.000 0.500 0.833
```

=====

[20]
Below is an optimized crystal structure of Ga2Te2Pd7Pt, with properties calculated at the GGA-PBE level.

Formation energy from raw total energies: -0.23 eV per atom

The structure in CIF format:
```
data_Ga2Te2Pd7Pt
_space_group_name_H-M_alt 'C 1 2/m 1'
_space_group_IT_number 12
_cell_length_a 5.536
_cell_length_b 5.538
_cell_length_c 15.263
_cell_angle_alpha 90.00
_cell_angle_beta 99.99
_cell_angle_gamma 90.00
loop_
_space_group_symop_operation_xyz
'x,y,z'
'-x,-y,-z'
'-x,y,-z'
'x,-y,z'
'x+1/2,y+1/2,z'
'-x+1/2,-y+1/2,-z'
'-x+1/2,y+1/2,-z'
'x+1/2,-y+1/2,z'
loop_
_atom_site_label
_atom_site_fract_x
_atom_site_fract_y
_atom_site_fract_z
Ga1 0.117 0.000 0.243
Te1 0.202 0.500 0.407
Pd1 0.000 0.000 0.000
Pd2 0.185 0.250 0.864
Pd3 0.204 0.000 0.410
Pt1 0.000 0.500 0.000
```